LiCuO2 | PBEsol | relaxed

The total energy is -0.386 Ry per atom. As for the crystal system: trigonal. The calculation puts the total moment at 2.0 μB per formula unit. The calculation puts the formation energy (no corrections) at -1.046 eV/atom.

The structure belongs to space group R-3m (No. 166, hexagonal axes); the cell edges are 2.8973, 2.8973 and 14.1302 Å and the angles 90.00°, 90.00° and 120.00°. The inequivalent atoms are Li at (0.0000, 0.0000, 0.0000), Cu at (0.0000, 0.0000, 0.5000) and O at (0.0000, 0.0000, 0.2435).